The following is a PBE calculation of a relaxed structure of CaLa2IrN, from Alexandria.

a = 5.007 Å, b = 5.007 Å, c = 4.628 Å
α = 90.00°, β = 90.00°, γ = 90.00°
Space group P4/mmm (No. 123)
Asymmetric unit:
Ca  0.000  0.000  0.000 [1 per cell]
La  0.000  0.500  0.500 [2 per cell]
Ir  0.500  0.500  0.000 [1 per cell]
N  0.000  0.000  0.500 [1 per cell]

Formation energy without anion corrections in eV/atom: -0.647

=====

The following is a PBE calculation of a relaxed structure of Ca2LaIrN, from Alexandria.

a = 4.677 Å, b = 4.677 Å, c = 5.056 Å
α = 90.00°, β = 90.00°, γ = 90.00°
Space group P4/mmm (No. 123)
Asymmetric unit:
Ca  0.000  0.500  0.000 [2 per cell]
La  0.000  0.000  0.500 [1 per cell]
Ir  0.500  0.500  0.500 [1 per cell]
N  0.000  0.000  0.000 [1 per cell]

Formation energy without anion corrections in eV/atom: -0.575

=====

The following is a PBE calculation of a relaxed structure of CaLaIr2N, from Alexandria.

a = 4.856 Å, b = 4.856 Å, c = 7.082 Å
α = 90.00°, β = 90.00°, γ = 90.00°
Space group P4/mmm (No. 123)
Asymmetric unit:
Ca  0.000  0.000  0.000 [1 per cell]
La  0.000  0.000  0.500 [1 per cell]
Ir  0.000  0.500  0.500 [2 per cell]
N  0.500  0.500  0.000 [1 per cell]

Formation energy without anion corrections in eV/atom: 2.029

=====

The following is a PBE calculation of a relaxed structure of NaCa2LaIr, from Alexandria.

a = 5.743 Å, b = 5.743 Å, c = 5.481 Å
α = 90.00°, β = 90.00°, γ = 90.00°
Space group P4/mmm (No. 123)
Asymmetric unit:
Na  0.000  0.000  0.000 [1 per cell]
Ca  0.000  0.500  0.500 [2 per cell]
La  0.500  0.500  0.000 [1 per cell]
Ir  0.500  0.500  0.500 [1 per cell]

Formation energy in meV per atom: -285

=====

The following is a PBE calculation of a relaxed structure of NaCaLa2Ir, from Alexandria.

a = 5.609 Å, b = 5.609 Å, c = 5.874 Å
α = 90.00°, β = 90.00°, γ = 90.00°
Space group P4/mmm (No. 123)
Asymmetric unit:
Na  0.000  0.000  0.000 [1 per cell]
Ca  0.500  0.500  0.000 [1 per cell]
La  0.000  0.500  0.500 [2 per cell]
Ir  0.500  0.500  0.500 [1 per cell]

Polymorph energy (0 for the lowest one) in eV per atom: 0.0000
Formation energy in meV per atom: -312

=====

The following is a PBE calculation of a relaxed structure of NaCaLa2Ir, from Alexandria.

a = 5.543 Å, b = 5.543 Å, c = 5.953 Å
α = 90.00°, β = 90.00°, γ = 90.00°
Space group P4/mmm (No. 123)
Asymmetric unit:
Na  0.000  0.000  0.000 [1 per cell]
Ca  0.500  0.500  0.000 [1 per cell]
La  0.000  0.500  0.500 [2 per cell]
Ir  0.000  0.000  0.500 [1 per cell]

Polymorph energy (0 for the lowest one) in eV per atom: 0.1643
Formation energy in meV per atom: -147

=====

The following is a PBE calculation of a relaxed structure of CaLa2IrO8, from Alexandria.

a = 4.891 Å, b = 5.297 Å, c = 7.188 Å
α = 91.74°, β = 91.26°, γ = 92.33°
Space group P-1 (No. 2)
Asymmetric unit:
Ca  0.000  0.000  0.000 [1 per cell]
La  0.446  0.469  0.752 [2 per cell]
Ir  0.000  0.000  0.500 [1 per cell]
O  0.112  0.759  0.311 [2 per cell]
O  0.172  0.833  0.700 [2 per cell]
O  0.316  0.204  0.467 [2 per cell]
O  0.335  0.293  0.022 [2 per cell]

Formation energy without anion corrections in eV/atom: -2.056

=====

The following is a PBE calculation of a relaxed structure of CaLa2IrO, from Alexandria.

a = 5.026 Å, b = 5.026 Å, c = 4.481 Å
α = 90.00°, β = 90.00°, γ = 90.00°
Space group P4/mmm (No. 123)
Asymmetric unit:
Ca  0.000  0.000  0.000 [1 per cell]
La  0.000  0.500  0.500 [2 per cell]
Ir  0.500  0.500  0.000 [1 per cell]
O  0.000  0.000  0.500 [1 per cell]

Formation energy without anion corrections in eV/atom: -1.276

=====

The following is a PBE calculation of a relaxed structure of CaLaIrO6, from Alexandria.

a = 5.6014 Å, b = 5.6014 Å, c = 9.9082 Å
α = 90.00°, β = 90.00°, γ = 120.00°
Space group P-31c (No. 163)
Asymmetric unit:
Ca  0.3333  0.6667  0.2500 [2 per cell]
La  0.0000  0.0000  0.0000 [2 per cell]
Ir  0.3333  0.6667  0.7500 [2 per cell]
O  0.0537  0.3824  0.6390 [12 per cell]

Formation energy without anion corrections in eV/atom: -1.904

=====

The following is a PBE calculation of a relaxed structure of CaLa2IrPb, from Alexandria.

a = 5.521 Å, b = 5.521 Å, c = 5.555 Å
α = 90.00°, β = 90.00°, γ = 90.00°
Space group P4/mmm (No. 123)
Asymmetric unit:
Ca  0.000  0.000  0.000 [1 per cell]
La  0.000  0.500  0.500 [2 per cell]
Ir  0.000  0.000  0.500 [1 per cell]
Pb  0.500  0.500  0.000 [1 per cell]

Formation energy in meV per atom: -529

=====

The following is a PBE calculation of a relaxed structure of CaLaIrPd, from Alexandria.

a = 7.107 Å, b = 7.107 Å, c = 7.107 Å
α = 90.00°, β = 90.00°, γ = 90.00°
Space group F-43m (No. 216)
Asymmetric unit:
Ca  0.000  0.000  0.000 [4 per cell]
La  0.000  0.000  0.500 [4 per cell]
Ir  0.250  0.250  0.250 [4 per cell]
Pd  0.250  0.250  0.750 [4 per cell]

Formation energy in meV per atom: -618

=====

The following is a PBE calculation of a relaxed structure of CaLaIrPt, from Alexandria.

a = 7.096 Å, b = 7.096 Å, c = 7.096 Å
α = 90.00°, β = 90.00°, γ = 90.00°
Space group F-43m (No. 216)
Asymmetric unit:
Ca  0.000  0.000  0.000 [4 per cell]
La  0.000  0.000  0.500 [4 per cell]
Ir  0.250  0.250  0.750 [4 per cell]
Pt  0.250  0.250  0.250 [4 per cell]

Formation energy in meV per atom: -709

=====

Results for density of states at the Fermi level: 0.606; 0.647; 0.877; 0.645; 0.701; 0.795; 0.335; 0.736; 0.613; 0.556; 0.278; 0.437 (in states/eV/atom, following the order of the records).